DFT (GGA-PBE) results for YScPt2Au after structural relaxation.

Values from the calculation:
D(E_F) in states/eV per atom: 1.1752
Energy of formation in eV/f.u.: 1.7

abc: 5.096 5.096 4.985
angles: 90.00 90.00 90.00
Positions (direct):
Y (0.000, 0.000, 0.000)
Sc (0.500, 0.500, 0.000)
Pt (0.000, 0.500, 0.500)
Pt (0.500, 0.000, 0.500)
Au (0.000, 0.000, 0.500)